# Cu2NiF5

Crystalline Cu2NiF5 at its relaxed geometry (PBE+U, Alexandria).

a b c (Å): 4.019 5.605 10.127
angles (deg): 90.00 90.00 111.01
Last column: magnetic moment on the atom in μB.
Positions (direct):
Cu (0.866, 0.732, 0.422)  0.42
Cu (0.134, 0.268, 0.922)  0.42
Cu (0.866, 0.732, 0.078)  0.42
Cu (0.134, 0.268, 0.578)  0.42
F (0.926, 0.853, 0.889)  0.05
F (0.749, 0.497, 0.250)  0.08
F (0.662, 0.324, 0.900)  0.07
F (0.926, 0.853, 0.611)  0.05
F (0.338, 0.676, 0.400)  0.07
F (0.074, 0.147, 0.111)  0.05
F (0.338, 0.676, 0.100)  0.07
F (0.074, 0.147, 0.389)  0.05
F (0.662, 0.324, 0.600)  0.07
F (0.251, 0.503, 0.750)  0.08
Ni (0.204, 0.408, 0.250)  1.82
Ni (0.796, 0.592, 0.750)  1.82

Calculated values
* volume: 13.31 A^3/atom
* DOS(E_F): 0.390 states/eV per atom
* E_tot: -4.125 eV per atom
* M_tot: 6.00 Bohr magnetons per cell